*i*
Material: GaPd15
Method: DFT, PBE-GGA
State: relaxed

a b c (Å): 7.8547 2.7926 36.2522
angles (deg): 90.00 90.01 90.00
With the nearest neighbours (Å) after each atom.
Sites, in units of the cell vectors:
Ga1 0.1251 0.2500 0.2815  5 Pd 2.53-2.54, 2 Ga 2.79
Ga2 0.8749 0.7500 0.7185  5 Pd 2.53-2.54, 2 Ga 2.79
Pd1 0.1157 0.2500 0.7442  2 Ga 2.53, 4 Pd 2.74-2.79
Pd2 0.1253 0.2500 0.0577  12 Pd 2.79-2.80
Pd3 0.1249 0.2500 0.1345  12 Pd 2.77-2.81
Pd4 0.1249 0.2500 0.2116  1 Ga 2.54, 7 Pd 2.76-2.79
Pd5 0.1250 0.2500 0.8254  12 Pd 2.76-2.94
Pd6 0.1258 0.2500 0.9033  12 Pd 2.78-2.82
Pd7 0.1259 0.2500 0.9806  12 Pd 2.79-2.80
Pd8 0.3657 0.7500 0.2557  2 Ga 2.53, 4 Pd 2.74-2.79
Pd9 0.3750 0.7500 0.1746  12 Pd 2.76-2.94
Pd10 0.3750 0.7500 0.7114  7 Pd 2.72-2.79
Pd11 0.3750 0.7500 0.7863  12 Pd 2.72-2.90
Pd12 0.3749 0.7500 0.8635  12 Pd 2.78-2.83
Pd13 0.3753 0.7500 0.9416  12 Pd 2.78-2.83
Pd14 0.3760 0.7500 0.0193  12 Pd 2.78-2.82
Pd15 0.3757 0.7500 0.0969  12 Pd 2.77-2.82
Pd16 0.6243 0.2500 0.9031  12 Pd 2.77-2.82
Pd17 0.6240 0.2500 0.9807  12 Pd 2.78-2.82
Pd18 0.6247 0.2500 0.0584  12 Pd 2.78-2.83
Pd19 0.6251 0.2500 0.1365  12 Pd 2.78-2.83
Pd20 0.6250 0.2500 0.2137  12 Pd 2.72-2.90
Pd21 0.6250 0.2500 0.2886  7 Pd 2.72-2.79
Pd22 0.6250 0.2500 0.8254  12 Pd 2.76-2.94
Pd23 0.6343 0.2500 0.7443  2 Ga 2.53, 4 Pd 2.74-2.79
Pd24 0.8741 0.7500 0.0194  12 Pd 2.79-2.80
Pd25 0.8742 0.7500 0.0967  12 Pd 2.78-2.82
Pd26 0.8750 0.7500 0.1746  12 Pd 2.76-2.94
Pd27 0.8751 0.7500 0.7884  1 Ga 2.54, 7 Pd 2.76-2.79
Pd28 0.8751 0.7500 0.8655  12 Pd 2.77-2.81
Pd29 0.8747 0.7500 0.9423  12 Pd 2.79-2.80
Pd30 0.8843 0.7500 0.2558  2 Ga 2.53, 4 Pd 2.74-2.79

Its crystal system is monoclinic.

---

*ii*
Material: GaPd15
Method: DFT, PBE-GGA
State: relaxed

a b c (Å): 5.5341 3.9307 36.4332
angles (deg): 90.00 90.05 90.00
With the nearest neighbours (Å) after each atom.
Sites, in units of the cell vectors:
Ga1 0.1248 0.2500 0.2826  7 Pd 2.55-2.78
Ga2 0.8752 0.7500 0.7174  7 Pd 2.55-2.78
Pd1 0.1224 0.2500 0.7455  2 Ga 2.60, 8 Pd 2.74-2.84
Pd2 0.1251 0.2500 0.0579  12 Pd 2.77-2.81
Pd3 0.1251 0.2500 0.1350  12 Pd 2.77-2.83
Pd4 0.1251 0.2500 0.2126  1 Ga 2.55, 11 Pd 2.77-2.84
Pd5 0.1248 0.2500 0.8257  12 Pd 2.76-2.92
Pd6 0.1254 0.2500 0.9034  12 Pd 2.76-2.83
Pd7 0.1253 0.2500 0.9807  12 Pd 2.76-2.82
Pd8 0.3724 0.7500 0.2546  2 Ga 2.60, 8 Pd 2.74-2.84
Pd9 0.3752 0.7500 0.0193  12 Pd 2.76-2.82
Pd10 0.3754 0.7500 0.0967  12 Pd 2.76-2.83
Pd11 0.3747 0.7500 0.1744  12 Pd 2.76-2.92
Pd12 0.3750 0.7500 0.7096  5 Pd 2.74-2.80, 2 Ga 2.78
Pd13 0.3749 0.7500 0.7866  12 Pd 2.77-2.84
Pd14 0.3749 0.7500 0.8643  12 Pd 2.77-2.83
Pd15 0.3750 0.7500 0.9420  12 Pd 2.77-2.83
Pd16 0.6250 0.2500 0.0580  12 Pd 2.77-2.83
Pd17 0.6251 0.2500 0.1357  12 Pd 2.77-2.83
Pd18 0.6251 0.2500 0.2134  12 Pd 2.77-2.84
Pd19 0.6250 0.2500 0.2904  5 Pd 2.74-2.80, 2 Ga 2.78
Pd20 0.6253 0.2500 0.8256  12 Pd 2.76-2.92
Pd21 0.6246 0.2500 0.9033  12 Pd 2.76-2.83
Pd22 0.6248 0.2500 0.9807  12 Pd 2.76-2.82
Pd23 0.6276 0.2500 0.7454  2 Ga 2.60, 8 Pd 2.74-2.84
Pd24 0.8747 0.7500 0.0193  12 Pd 2.76-2.82
Pd25 0.8746 0.7500 0.0966  12 Pd 2.76-2.83
Pd26 0.8752 0.7500 0.1743  12 Pd 2.76-2.92
Pd27 0.8749 0.7500 0.7874  1 Ga 2.55, 11 Pd 2.77-2.84
Pd28 0.8749 0.7500 0.8650  12 Pd 2.77-2.83
Pd29 0.8749 0.7500 0.9421  12 Pd 2.77-2.81
Pd30 0.8776 0.7500 0.2545  2 Ga 2.60, 8 Pd 2.74-2.84

Its crystal system is monoclinic.

---

Relative energies with respect to the most stable structure, expressed in meV per atom: *i* 25; *ii* 0.

---

*i*
Material: GaPd7
Method: DFT, PBE-GGA
State: relaxed

a b c (Å): 2.8000 3.9213 35.4574
angles (deg): 90.00 90.00 90.00
With the nearest neighbours (Å) after each atom.
Sites, in units of the cell vectors:
Ga1 0.2500 0.2500 0.2102  5 Pd 2.53-2.57, 2 Ga 2.80
Ga2 0.7500 0.7500 0.7898  5 Pd 2.53-2.57, 2 Ga 2.80
Pd1 0.2500 0.2500 0.2816  1 Ga 2.53, 7 Pd 2.78-2.83
Pd2 0.2500 0.2500 0.3614  12 Pd 2.79-2.83
Pd3 0.2500 0.2500 0.4407  12 Pd 2.79-2.81
Pd4 0.2500 0.2500 0.5197  12 Pd 2.78-2.82
Pd5 0.2500 0.2500 0.5991  12 Pd 2.79-2.84
Pd6 0.2500 0.2500 0.6792  12 Pd 2.78-3.03
Pd7 0.2500 0.2500 0.7647  4 Ga 2.57, 2 Pd 2.80
Pd8 0.7500 0.7500 0.2353  4 Ga 2.57, 2 Pd 2.80
Pd9 0.7500 0.7500 0.3208  12 Pd 2.78-3.03
Pd10 0.7500 0.7500 0.4009  12 Pd 2.79-2.84
Pd11 0.7500 0.7500 0.4803  12 Pd 2.78-2.82
Pd12 0.7500 0.7500 0.5593  12 Pd 2.79-2.81
Pd13 0.7500 0.7500 0.6386  12 Pd 2.79-2.83
Pd14 0.7500 0.7500 0.7184  1 Ga 2.53, 7 Pd 2.78-2.83

Its crystal system is orthorhombic.

---

*ii*
Material: GaPd7
Method: DFT, PBE-GGA
State: relaxed

a b c (Å): 2.8052 2.8052 43.9068
angles (deg): 90.00 90.00 90.00
With the nearest neighbours (Å) after each atom.
Sites, in units of the cell vectors:
Ga1 0.2500 0.2500 0.1659  4 Pd 2.67, 4 Ga 2.81
Ga2 0.7500 0.7500 0.8341  4 Pd 2.67, 4 Ga 2.81
Pd1 0.2500 0.2500 0.2532  12 Pd 2.81-2.85
Pd2 0.2500 0.2500 0.3434  12 Pd 2.79-2.81
Pd3 0.2500 0.2500 0.4329  12 Pd 2.79-2.81
Pd4 0.2500 0.2500 0.5224  12 Pd 2.79-2.81
Pd5 0.2500 0.2500 0.6119  12 Pd 2.79-2.81
Pd6 0.2500 0.2500 0.7015  12 Pd 2.80-2.81
Pd7 0.2500 0.2500 0.7935  4 Ga 2.67, 8 Pd 2.81-2.85
Pd8 0.7500 0.7500 0.2065  4 Ga 2.67, 8 Pd 2.81-2.85
Pd9 0.7500 0.7500 0.2985  12 Pd 2.80-2.81
Pd10 0.7500 0.7500 0.3881  12 Pd 2.79-2.81
Pd11 0.7500 0.7500 0.4776  12 Pd 2.79-2.81
Pd12 0.7500 0.7500 0.5671  12 Pd 2.79-2.81
Pd13 0.7500 0.7500 0.6566  12 Pd 2.79-2.81
Pd14 0.7500 0.7500 0.7468  12 Pd 2.81-2.85

Its crystal system is tetragonal.

---

Relative energies with respect to the most stable structure, expressed in meV per atom: *i* 0; *ii* 48.

---

*i*
Material: PrGa2PdPt
Method: DFT, PBE-GGA
State: relaxed

a b c (Å): 4.3085 4.3085 10.5026
angles (deg): 90.00 90.00 90.00
With the nearest neighbours (Å) after each atom.
Sites, in units of the cell vectors:
Pr1 0.2500 0.2500 0.2478  4 Pd 3.28, 8 Ga 3.30-3.38, 4 Pt 3.41
Pr2 0.7500 0.7500 0.7522  4 Pd 3.28, 8 Ga 3.30-3.38, 4 Pt 3.41
Ga1 0.2500 0.2500 0.6311  1 Pd 2.49, 4 Pt 2.56
Ga2 0.2500 0.7500 0.0000  4 Pd 2.56
Ga3 0.7500 0.2500 0.0000  4 Pd 2.56
Ga4 0.7500 0.7500 0.3689  1 Pd 2.49, 4 Pt 2.56
Pd1 0.2500 0.2500 0.8679  5 Ga 2.49-2.56
Pd2 0.7500 0.7500 0.1321  5 Ga 2.49-2.56
Pt1 0.2500 0.7500 0.5000  4 Ga 2.56
Pt2 0.7500 0.2500 0.5000  4 Ga 2.56

Its crystal system is tetragonal. As for the magnetic moment: 0.002 μB/f.u.

---

*ii*
Material: PrGa2PdPt
Method: DFT, PBE-GGA
State: relaxed

a b c (Å): 4.3450 4.3450 10.4109
angles (deg): 90.00 90.00 90.00
With the nearest neighbours (Å) after each atom.
Sites, in units of the cell vectors:
Pr1 0.2500 0.2500 0.2449  4 Pt 3.29, 8 Ga 3.35, 4 Pd 3.43
Pr2 0.7500 0.7500 0.7551  4 Pt 3.29, 8 Ga 3.35, 4 Pd 3.43
Ga1 0.2500 0.2500 0.6280  1 Pt 2.49, 4 Pd 2.55
Ga2 0.2500 0.7500 0.0000  4 Pt 2.57
Ga3 0.7500 0.2500 0.0000  4 Pt 2.57
Ga4 0.7500 0.7500 0.3720  1 Pt 2.49, 4 Pd 2.55
Pd1 0.2500 0.7500 0.5000  4 Ga 2.55
Pd2 0.7500 0.2500 0.5000  4 Ga 2.55
Pt1 0.2500 0.2500 0.8674  5 Ga 2.49-2.57
Pt2 0.7500 0.7500 0.1326  5 Ga 2.49-2.57

Its crystal system is tetragonal. As for the magnetic moment: 0.002 μB/f.u.

---

Relative energies with respect to the most stable structure, expressed in meV per atom: *i* 49; *ii* 0.

---

*i*
Material: ScZnGaPd
Method: DFT, PBE-GGA
State: relaxed

a b c (Å): 4.5203 4.5203 4.5203
angles (deg): 60.00 60.00 60.00
With the nearest neighbours (Å) after each atom.
Sites, in units of the cell vectors:
Sc1 0.0000 0.0000 0.0000  4 Pd 2.77, 4 Zn 2.77
Zn1 0.2500 0.2500 0.2500  4 Sc 2.77, 4 Ga 2.77
Ga1 0.5000 0.5000 0.5000  4 Pd 2.77, 4 Zn 2.77
Pd1 0.7500 0.7500 0.7500  4 Sc 2.77, 4 Ga 2.77

Its crystal system is cubic. As for the magnetic moment: 0.001 μB/f.u.

---

*ii*
Material: ScZnGaPd
Method: DFT, PBE-GGA
State: relaxed

a b c (Å): 4.5463 4.5463 4.5463
angles (deg): 60.00 60.00 60.00
With the nearest neighbours (Å) after each atom.
Sites, in units of the cell vectors:
Sc1 0.0000 0.0000 0.0000  4 Pd 2.78, 4 Ga 2.78
Zn1 0.5000 0.5000 0.5000  4 Pd 2.78, 4 Ga 2.78
Ga1 0.2500 0.2500 0.2500  4 Zn 2.78, 4 Sc 2.78
Pd1 0.7500 0.7500 0.7500  4 Zn 2.78, 4 Sc 2.78

Its crystal system is cubic. As for the magnetic moment: 0.001 μB/f.u.

---

Relative energies with respect to the most stable structure, expressed in meV per atom: *i* 0; *ii* 25.